# 1
A relaxed structure of Na2CuNi3F12, computed with GGA+U.

Lattice parameters (Å, degrees): 7.2968 7.2968 7.2968 58.60 58.60 58.60
With the nearest neighbours (Å) after each atom.
Fractional positions:
Na (0.6995, 0.6995, 0.6995)  6 F 2.45-2.54
Na (0.3005, 0.3005, 0.3005)  6 F 2.45-2.54
Cu (0.0000, 0.0000, 0.0000)  6 F 1.92
Ni (0.5000, 0.0000, 0.0000)  6 F 1.94-2.03
Ni (0.0000, 0.5000, 0.0000)  6 F 1.94-2.03
Ni (0.0000, 0.0000, 0.5000)  6 F 1.94-2.03
F (0.3232, 0.3232, 0.9427)  2 Ni 1.94
F (0.9256, 0.9256, 0.3194)  1 Cu 1.92, 1 Ni 2.03
F (0.3194, 0.9256, 0.9256)  1 Cu 1.92, 1 Ni 2.03
F (0.9427, 0.3232, 0.3232)  2 Ni 1.94
F (0.9256, 0.3194, 0.9256)  1 Cu 1.92, 1 Ni 2.03
F (0.3232, 0.9427, 0.3232)  2 Ni 1.94
F (0.6768, 0.6768, 0.0573)  2 Ni 1.94
F (0.0744, 0.0744, 0.6806)  1 Cu 1.92, 1 Ni 2.03
F (0.6806, 0.0744, 0.0744)  1 Cu 1.92, 1 Ni 2.03
F (0.0573, 0.6768, 0.6768)  2 Ni 1.94
F (0.0744, 0.6806, 0.0744)  1 Cu 1.92, 1 Ni 2.03
F (0.6768, 0.0573, 0.6768)  2 Ni 1.94

Calculated values
volume: 14.775 Å³/atom
spin magnetization: 7.00 μB per cell
symmetry: R-3m
DFT total energy: -72.7 eV/cell


# 2
A relaxed structure of NaCuNi2F8, computed with GGA+U.

Lattice parameters (Å, degrees): 4.7771 4.7331 6.3439 90.00 90.00 89.37
With the nearest neighbours (Å) after each atom.
Fractional positions:
Na (0.0000, 0.0000, 0.5000)  6 F 2.15-2.22
Cu (0.0000, 0.0000, 0.0000)  6 F 1.92-2.01
Ni (0.5000, 0.5000, 0.7486)  6 F 2.00-2.11
Ni (0.5000, 0.5000, 0.2514)  6 F 2.00-2.11
F (0.1904, 0.7946, 0.2186)  1 Cu 1.92, 1 Ni 2.03
F (0.6960, 0.7112, 0.0000)  1 Cu 2.01, 2 Ni 2.11
F (0.8095, 0.2054, 0.2186)  1 Cu 1.92, 1 Ni 2.03
F (0.8096, 0.2054, 0.7814)  1 Cu 1.92, 1 Ni 2.03
F (0.3040, 0.2888, 0.0000)  1 Cu 2.01, 2 Ni 2.11
F (0.1905, 0.7946, 0.7814)  1 Cu 1.92, 1 Ni 2.03
F (0.6753, 0.6876, 0.5000)  2 Ni 2.00, 1 Na 2.15
F (0.3247, 0.3124, 0.5000)  2 Ni 2.00, 1 Na 2.15

Calculated values
volume: 11.953 Å³/atom
spin magnetization: 5.91 μB per cell
symmetry: P2/m
DFT total energy: -49.3 eV/cell